A plane-wave DFT calculation with PBE was carried out for an optimized crystal structure of PmHoEr2Tm5.

a = 5.537 Å, b = 19.561 Å, c = 10.474 Å
α = 90.00°, β = 90.00°, γ = 90.00°
Space group Cmc2_1 (No. 36)
Symmetry-distinct sites (fractional):
Pm (0.000, 0.084, 0.000)
Ho (0.000, 0.300, 0.559)
Er (0.000, 0.387, 0.866)
Er (0.000, 0.390, 0.283)
Tm (0.000, 0.021, 0.284)
Tm (0.000, 0.111, 0.569)
Tm (0.000, 0.201, 0.258)
Tm (0.000, 0.218, 0.858)
Tm (0.000, 0.482, 0.573)

- Energy: -157.32 eV/cell
- Magnetic moment: 0.0 μB per cell

***

A plane-wave DFT calculation with PBE was carried out for an optimized crystal structure of Ba2CdHPt.

a = 5.874 Å, b = 5.874 Å, c = 3.843 Å
α = 90.00°, β = 90.00°, γ = 90.00°
Space group P4/mmm (No. 123)
Symmetry-distinct sites (fractional):
Ba (0.000, 0.500, 0.000)
Cd (0.000, 0.000, 0.500)
H (0.500, 0.500, 0.000)
Pt (0.500, 0.500, 0.500)

- ΔE to the lowest computed polymorph: 0.000 eV/atom
- Magnetic moment: 0.0 μB per cell

***

A plane-wave DFT calculation with PBE was carried out for an optimized crystal structure of AlSi2Ru.

a = 4.207 Å, b = 3.076 Å, c = 8.940 Å
α = 90.00°, β = 90.00°, γ = 90.00°
Space group Amm2 (No. 38)
Symmetry-distinct sites (fractional):
Al (0.000, 0.000, 0.000)
Si (0.000, 0.000, 0.733)
Si (0.500, 0.000, 0.311)
Ru (0.500, 0.000, 0.591)

- Formation energy from raw total energies: -26.5 kJ per mole of atoms
- Magnetic moment: 0.0 μB per cell